Record 1
# Ho8Ag2Ir

An optimized crystal structure of Ho8Ag2Ir (GGA-PBE, Alexandria).

abc: 5.172 6.788 9.091
angles: 106.71 106.53 90.00
Element x y z (fractional)
Ho 0.410 0.568 0.820
Ho 0.660 0.971 0.320
Ho 0.799 0.688 0.598
Ho 0.973 0.209 0.945
Ho 0.201 0.312 0.402
Ho 0.340 0.029 0.680
Ho 0.590 0.432 0.180
Ho 0.027 0.791 0.055
Ag 0.817 0.282 0.634
Ag 0.183 0.718 0.366
Ir 0.500 0.000 0.000

- Formation energy from the elements: -0.293 eV/atom
- E: -4.946 eV per atom
- Spin magnetization: 0.00 Bohr magnetons per cell

Record 2
# Ho2AgIr

An optimized crystal structure of Ho2AgIr (GGA-PBE, Alexandria).

abc: 4.004 4.004 9.219
angles: 77.46 77.46 60.00
Element x y z (fractional)
Ir 0.500 0.500 0.500
Ho 0.112 0.112 0.663
Ho 0.888 0.888 0.337
Ag 0.000 0.000 0.000

- Formation energy from the elements: -0.181 eV/atom
- E: -5.398 eV per atom
- Spin magnetization: 0.00 Bohr magnetons per cell

Record 3
# Ho2AgIr

An optimized crystal structure of Ho2AgIr (GGA-PBE, Alexandria).

abc: 4.950 4.950 4.950
angles: 60.00 60.00 60.00
Element x y z (fractional)
Ir 0.500 0.500 0.500
Ho 0.750 0.750 0.750
Ho 0.250 0.250 0.250
Ag 0.000 0.000 0.000

- Formation energy from the elements: -0.620 eV/atom
- E: -5.837 eV per atom
- Spin magnetization: 0.00 Bohr magnetons per cell

Record 4
# Ho4AgIr2

An optimized crystal structure of Ho4AgIr2 (GGA-PBE, Alexandria).

abc: 4.873 4.873 8.390
angles: 73.12 73.12 60.00
Element x y z (fractional)
Ir 0.749 0.749 0.753
Ir 0.251 0.251 0.247
Ho 0.872 0.872 0.385
Ho 0.128 0.128 0.615
Ho 0.620 0.620 0.139
Ho 0.380 0.380 0.861
Ag 0.000 0.000 0.000

- Formation energy from the elements: -0.675 eV/atom
- E: -6.230 eV per atom
- Spin magnetization: 0.00 Bohr magnetons per cell